The following is a PBE calculation of a relaxed structure of Ga2Tc2Sn, from Alexandria via LeMat-Bulk.

Calculated values
Energy relative to the lowest polymorph listed for this composition = 361 meV/atom

a = 3.8475 Å, b = 3.8475 Å, c = 6.7168 Å
α = 73.36°, β = 73.36°, γ = 90.00°
Positions (direct):
Sn (0.0000, 0.0000, 0.0000)
Ga (0.3945, 0.3945, 0.2111)
Ga (0.6055, 0.6055, 0.7889)
Tc (0.7500, 0.2500, 0.5000)
Tc (0.2500, 0.7500, 0.5000)


The following is a PBE calculation of a relaxed structure of Nd2In5Cl12, from Alexandria via LeMat-Bulk.

Calculated values
Energy relative to the elements, uncorrected = -27.20 eV per formula unit

a = 7.3704 Å, b = 9.5651 Å, c = 9.5651 Å
α = 62.25°, β = 75.84°, γ = 75.84°
Positions (direct):
Nd (0.0000, 0.7478, 0.2522)
Nd (0.0000, 0.2522, 0.7478)
In (0.0000, 0.2457, 0.2457)
In (0.5067, 0.3483, 0.3483)
In (0.5000, 0.0000, 0.0000)
In (0.4933, 0.6517, 0.6517)
In (0.0000, 0.7543, 0.7543)
Cl (0.1994, 0.9210, 0.9210)
Cl (0.2170, 0.1428, 0.5231)
Cl (0.2170, 0.5231, 0.1428)
Cl (0.7421, 0.0937, 0.7148)
Cl (0.7421, 0.7148, 0.0937)
Cl (0.7926, 0.4814, 0.4814)
Cl (0.2074, 0.5186, 0.5186)
Cl (0.2579, 0.9063, 0.2852)
Cl (0.2579, 0.2852, 0.9063)
Cl (0.7830, 0.8572, 0.4769)
Cl (0.7830, 0.4769, 0.8572)
Cl (0.8006, 0.0790, 0.0790)


The following is a PBE calculation of a relaxed structure of LiZrSc4O8, from Alexandria via LeMat-Bulk.

Calculated values
Energy relative to the elements, uncorrected = -44.40 eV per formula unit

a = 6.3109 Å, b = 6.3109 Å, c = 6.2443 Å
α = 59.65°, β = 59.65°, γ = 60.00°
Positions (direct):
Li (0.9992, 0.9992, 0.0024)
Zr (0.3794, 0.3794, 0.8617)
Sc (0.6218, 0.6218, 0.1346)
Sc (0.9990, 0.5056, 0.4964)
Sc (0.5056, 0.9990, 0.4964)
Sc (0.9990, 0.9990, 0.4964)
O (0.2458, 0.7713, 0.7371)
O (0.7713, 0.2458, 0.7371)
O (0.2458, 0.2458, 0.7371)
O (0.2443, 0.2443, 0.2671)
O (0.7505, 0.2309, 0.2680)
O (0.2309, 0.7505, 0.2680)
O (0.7505, 0.7505, 0.2680)
O (0.7568, 0.7568, 0.7297)


The following is a PBE calculation of a relaxed structure of ZrFeIr, from Alexandria via LeMat-Bulk.

Calculated values
Uncorrected energy = -8.24 eV per atom

a = 4.3380 Å, b = 4.3380 Å, c = 4.3380 Å
α = 60.00°, β = 60.00°, γ = 60.00°
Positions (direct):
Fe (0.0000, 0.0000, 0.0000)
Ir (0.5000, 0.5000, 0.5000)
Zr (0.2500, 0.2500, 0.2500)


The following is a PBE calculation of a relaxed structure of RbTl2SbSe4, from Alexandria via LeMat-Bulk.

Calculated values
Energy relative to the elements, uncorrected = -3.38 eV per formula unit

a = 8.8180 Å, b = 8.8180 Å, c = 8.7166 Å
α = 119.60°, β = 119.60°, γ = 90.39°
Positions (direct):
Rb (0.0000, 0.5000, 0.0000)
Rb (0.0000, 0.5000, 0.5000)
Tl (0.5000, 0.0000, 0.0000)
Tl (0.5000, 0.0000, 0.5000)
Tl (0.0000, 0.0000, 0.5000)
Tl (0.5000, 0.5000, 0.0000)
Sb (0.5000, 0.5000, 0.5000)
Sb (0.0000, 0.0000, 0.0000)
Se (0.2701, 0.7967, 0.0331)
Se (0.7033, 0.2299, 0.4669)
Se (0.2967, 0.7701, 0.5331)
Se (0.7299, 0.2033, 0.9669)
Se (0.7355, 0.7643, 0.9763)
Se (0.7357, 0.7645, 0.5237)
Se (0.2642, 0.2355, 0.4763)
Se (0.2645, 0.2357, 0.0237)


The following is a PBE calculation of a relaxed structure of AlTl2As, from Alexandria via LeMat-Bulk.

Calculated values
Energy relative to the lowest polymorph listed for this composition = 56 meV/atom

a = 8.4077 Å, b = 8.4077 Å, c = 8.4077 Å
α = 154.69°, β = 154.81°, γ = 36.01°
Positions (direct):
Tl (0.9184, 0.9184, 0.0000)
Tl (0.5816, 0.5816, 0.0000)
As (0.7500, 0.2500, 0.5000)
Al (0.2500, 0.7500, 0.5000)


The following is a PBE calculation of a relaxed structure of Pm2Co3Sn5, from Alexandria via LeMat-Bulk.

Calculated values
Energy relative to the lowest polymorph listed for this composition = 0 meV/atom

a = 13.2951 Å, b = 13.2951 Å, c = 7.1358 Å
α = 90.00°, β = 90.00°, γ = 161.01°
Positions (direct):
Pm (0.4742, 0.5258, 0.7514)
Pm (0.1716, 0.8284, 0.7375)
Pm (0.8284, 0.1716, 0.2375)
Pm (0.5258, 0.4742, 0.2514)
Co (0.7777, 0.2223, 0.7286)
Co (0.6066, 0.3934, 0.5085)
Co (0.0503, 0.9497, 0.9708)
Co (0.2223, 0.7777, 0.2286)
Co (0.9497, 0.0503, 0.4708)
Co (0.3934, 0.6066, 0.0085)
Sn (0.4064, 0.5936, 0.3766)
Sn (0.2873, 0.7127, 0.5195)
Sn (0.7127, 0.2873, 0.0195)
Sn (0.1223, 0.8777, 0.2465)
Sn (0.2954, 0.7046, 0.9397)
Sn (0.9513, 0.0487, 0.0856)
Sn (0.7046, 0.2954, 0.4397)
Sn (0.8777, 0.1223, 0.7465)
Sn (0.0487, 0.9513, 0.5856)
Sn (0.5936, 0.4064, 0.8766)


The following is a PBE calculation of a relaxed structure of SrLi2Tl2F7, from Alexandria via LeMat-Bulk.

Calculated values
Energy relative to the elements, uncorrected = -31.41 eV per formula unit

a = 3.8977 Å, b = 3.8977 Å, c = 11.0849 Å
α = 79.93°, β = 79.93°, γ = 90.00°
Positions (direct):
Sr (0.0000, 0.0000, 0.0000)
Li (0.5904, 0.5904, 0.8166)
Li (0.4096, 0.4096, 0.1834)
Tl (0.8226, 0.8226, 0.3561)
Tl (0.1774, 0.1774, 0.6439)
F (0.5000, 0.5000, 0.0000)
F (0.3053, 0.3053, 0.3922)
F (0.6947, 0.6947, 0.6078)
F (0.9123, 0.4126, 0.1781)
F (0.4126, 0.9123, 0.1781)
F (0.5874, 0.0877, 0.8219)
F (0.0877, 0.5874, 0.8219)


The following is a PBE calculation of a relaxed structure of CoIr2Cl, from Alexandria via LeMat-Bulk.

Calculated values
Energy relative to the lowest polymorph listed for this composition = 552 meV/atom
Energy relative to the elements, uncorrected = 3.86 eV per formula unit

a = 4.3265 Å, b = 4.3265 Å, c = 4.3265 Å
α = 118.48°, β = 118.48°, γ = 92.66°
Positions (direct):
Ir (0.0000, 0.0000, 0.0000)
Ir (0.2500, 0.7500, 0.5000)
Co (0.7500, 0.2500, 0.5000)
Cl (0.5000, 0.5000, 0.0000)


| no. | spin magnetization (Bohr magnetons per cell) |
| --- | --- |
| 1 | 0.6 |
| 2 | 1.0 |
| 3 | 0.0 |
| 4 | 2.3 |
| 5 | 0.0 |
| 6 | 0.0 |
| 7 | 0.0 |
| 8 | 0.0 |
| 9 | 1.1 |